[1]
12
Lattice="-5.853 3.299 2.878 0.278 -3.846 5.009 -0.536 7.717 8.651" Properties=species:S:1:pos:R:3 comment="Pr7HoTm4, optimized geometry, DFT PBE" crystal_system=triclinic magmom_total_mub_per_atom=0.0000 space_group="P-1 (2)" delta_e_f_kj_per_mol_atoms=0.7 pbc="T T T"
Pr -4.274 0.580 4.706
Pr -1.837 6.590 11.833
Pr -0.797 4.341 7.409
Pr -5.313 2.829 9.130
Pr -5.026 4.906 12.032
Pr -2.926 1.650 1.439
Pr -1.085 2.264 4.507
Ho 0.000 0.000 0.000
Tm -2.469 1.188 7.735
Tm -3.642 5.982 8.804
Tm -2.103 3.221 10.631
Tm -4.008 3.949 5.908

[2]
15
Lattice="6.612 0.000 0.000 0.000 8.189 -4.728 0.000 0.000 9.456" Properties=species:S:1:pos:R:3 comment="Pr8Ho6Tm, optimized geometry, DFT PBE" crystal_system=trigonal magmom_total_mub_per_atom=0.0000 space_group="P-3 (147)" delta_e_f_kj_per_mol_atoms=16.4 pbc="T T T"
Pr 5.500 0.312 2.538
Pr 5.500 5.835 3.729
Pr 5.500 2.042 7.917
Pr 1.112 7.877 2.190
Pr 1.112 2.354 0.999
Pr 1.112 6.147 -3.189
Pr 5.817 2.730 4.728
Pr 0.795 5.459 0.000
Ho 4.334 5.388 -2.214
Ho 4.334 7.413 1.045
Ho 4.334 3.577 1.169
Ho 2.277 2.801 6.942
Ho 2.277 0.776 3.683
Ho 2.277 4.612 3.559
Tm 3.306 0.000 0.000

[3]
30
Lattice="6.707 -1.581 0.000 -1.581 6.707 0.000 0.000 0.000 25.170" Properties=species:S:1:pos:R:3 comment="Pr12Ho2Tm, optimized geometry, DFT PBE" crystal_system=orthorhombic magmom_total_mub_per_atom=0.0000 space_group="Cmme (67)" delta_e_f_kj_per_mol_atoms=15.1 pbc="T T T"
Pr 2.563 2.563 20.188
Pr 0.000 0.000 20.188
Pr 3.861 3.827 23.343
Pr 0.499 4.643 21.901
Pr 0.000 0.000 8.150
Pr 0.482 4.627 3.269
Pr 4.738 0.594 14.741
Pr 2.563 2.563 8.150
Pr 1.264 1.298 23.343
Pr 3.827 3.861 1.827
Pr 1.486 1.077 14.103
Pr 4.531 0.387 10.429
Pr 0.000 0.000 17.020
Pr 1.077 1.486 11.067
Pr 1.298 1.264 1.827
Pr 4.049 3.639 11.067
Pr 3.639 4.049 14.103
Pr 0.000 0.000 4.981
Pr 0.387 4.531 14.741
Pr 2.563 2.563 17.020
Pr 4.627 0.482 21.901
Pr 2.563 2.563 4.981
Pr 0.594 4.738 10.429
Pr 4.643 0.499 3.269
Ho 3.353 -0.791 6.712
Ho -0.791 3.353 6.809
Ho -0.791 3.353 18.457
Ho 3.353 -0.791 18.361
Tm 3.353 -0.791 25.147
Tm -0.791 3.353 0.023

[4]
8
Lattice="8.534 0.615 -0.111 4.787 8.302 0.133 4.116 3.094 3.839" Properties=species:S:1:pos:R:3 comment="PrHo6Tm, optimized geometry, DFT PBE" crystal_system=trigonal magmom_total_mub_per_atom=0.0000 space_group="R-3 (148)" delta_e_f_kj_per_mol_atoms=14.7 pbc="T T T"
Pr 8.719 6.006 1.931
Ho 13.768 6.954 3.174
Ho 14.070 10.694 2.915
Ho 6.479 3.396 1.305
Ho 3.368 1.318 0.947
Ho 3.669 5.057 0.688
Ho 10.959 8.615 2.556
Tm 0.000 0.000 0.000

[5]
4
Lattice="-2.914 4.002 -0.811 -2.288 -2.456 -3.898 -3.507 -1.895 3.252" Properties=species:S:1:pos:R:3 comment="Pr2HoTm, optimized geometry, DFT PBE" crystal_system=tetragonal magmom_total_mub_per_atom=0.0000 space_group="P4/mmm (123)" delta_e_f_kj_per_mol_atoms=2.0 pbc="T T T"
Pr -1.753 -0.947 1.626
Pr -1.144 -1.228 -1.949
Tm -1.457 2.001 -0.405
Ho -4.354 -0.175 -0.728

[6]
20
Lattice="-4.863 7.479 -3.917 -5.384 -4.043 7.043 8.398 3.200 3.763" Properties=species:S:1:pos:R:3 comment="PrHo12Tm7, optimized geometry, DFT PBE" crystal_system=cubic magmom_total_mub_per_atom=0.0000 space_group="Im-3 (204)" delta_e_f_kj_per_mol_atoms=69.8 pbc="T T T"
Pr 0.000 0.000 0.000
Ho -0.100 2.977 6.117
Ho -6.667 5.310 2.274
Ho -1.748 3.660 0.773
Ho 4.819 1.327 4.616
Ho -1.425 6.370 -1.917
Ho 0.022 5.966 3.270
Ho -0.424 0.267 8.807
Ho -1.871 0.671 3.619
Ho -3.548 4.079 4.130
Ho 1.700 2.558 2.759
Ho 3.397 7.685 2.686
Ho -5.246 -1.048 4.204
Tm -5.123 1.718 1.563
Tm 1.507 -0.421 5.403
Tm 1.768 5.340 -0.077
Tm -0.924 3.319 3.445
Tm 4.199 1.600 1.882
Tm -2.432 3.740 -1.959
Tm -2.692 -2.021 3.522

[7]
14
Lattice="-3.856 -4.225 -2.321 3.515 -4.710 2.734 -4.126 2.929 10.353" Properties=species:S:1:pos:R:3 comment="PrHo4Tm2, optimized geometry, DFT PBE" crystal_system=monoclinic magmom_total_mub_per_atom=0.0000 space_group="P2_1/m (11)" delta_e_f_kj_per_mol_atoms=12.4 pbc="T T T"
Pr 1.370 -3.902 3.042
Pr -5.836 -2.103 7.724
Ho -1.913 -4.172 2.841
Ho -4.617 -5.262 8.398
Ho 0.150 -0.744 2.368
Ho -3.618 -1.888 1.516
Ho -4.839 -3.170 4.604
Ho -0.849 -4.117 9.250
Ho -2.553 -1.834 7.924
Ho 0.372 -2.836 6.162
Tm 0.244 -6.113 0.680
Tm -4.711 0.108 10.085
Tm -2.168 -1.158 4.634
Tm -2.299 -4.847 6.132

[8]
12
Lattice="6.817 1.850 0.863 5.066 7.546 2.412 -0.992 -0.428 8.689" Properties=species:S:1:pos:R:3 comment="PrHo7Tm4, optimized geometry, DFT PBE" crystal_system=triclinic magmom_total_mub_per_atom=0.0000 space_group="P-1 (2)" delta_e_f_kj_per_mol_atoms=-0.1 pbc="T T T"
Pr 0.000 0.000 0.000
Ho 7.658 5.166 1.856
Ho 3.233 3.802 10.107
Ho 7.389 3.624 7.282
Ho 3.503 5.344 4.682
Ho 4.799 5.994 7.844
Ho 3.409 0.925 0.431
Ho 6.093 2.974 4.120
Tm 6.938 6.279 5.113
Tm 3.954 2.689 6.851
Tm 8.203 6.930 8.277
Tm 2.688 2.038 3.687